Record 1
A PBEsol-optimized structure of CrAg2W. Source: Alexandria via LeMat-Bulk, functional meta-GGA SCAN.

Output
The calculation puts the density of states at the Fermi level at 2.4 states/eV per cell. The energy of formation comes out at 0.667 eV per atom. The space group is Pmmm, No. 47.

Unit cell a=3.042 b=4.217 c=4.727 alpha=90.00 beta=90.00 gamma=90.00
Sites, in units of the cell vectors:
Ag (0.000, 0.000, 0.000)
Ag (0.500, 0.500, 0.000)
Cr (0.500, 0.000, 0.500)
W (0.000, 0.500, 0.500)



Record 2
A PBEsol-optimized structure of Ba3Cr2MoO9. Source: Alexandria via LeMat-Bulk, functional meta-GGA SCAN.

Output
The calculation puts the density of states at the Fermi level at 0.8 states/eV per cell. The space group is P6_3/mmc, No. 194. For the formation energy without anion corrections, the calculation gives -2.7897 eV per atom.

Unit cell a=5.659 b=5.659 c=13.865 alpha=90.00 beta=90.00 gamma=120.00
Sites, in units of the cell vectors:
Ba (0.000, 0.000, 0.750)
Ba (0.000, 0.000, 0.250)
Ba (0.667, 0.333, 0.598)
Ba (0.333, 0.667, 0.402)
Ba (0.333, 0.667, 0.098)
Ba (0.667, 0.333, 0.902)
Cr (0.333, 0.667, 0.658)
Cr (0.667, 0.333, 0.158)
Cr (0.667, 0.333, 0.342)
Cr (0.333, 0.667, 0.842)
Mo (0.000, 0.000, 0.500)
Mo (0.000, 0.000, 0.000)
O (0.482, 0.965, 0.750)
O (0.482, 0.518, 0.750)
O (0.035, 0.518, 0.750)
O (0.518, 0.035, 0.250)
O (0.518, 0.482, 0.250)
O (0.965, 0.482, 0.250)
O (0.836, 0.673, 0.421)
O (0.836, 0.164, 0.421)
O (0.327, 0.164, 0.421)
O (0.164, 0.327, 0.579)
O (0.164, 0.836, 0.579)
O (0.673, 0.836, 0.579)
O (0.164, 0.327, 0.921)
O (0.164, 0.836, 0.921)
O (0.673, 0.836, 0.921)
O (0.836, 0.673, 0.079)
O (0.836, 0.164, 0.079)
O (0.327, 0.164, 0.079)



Record 3
A PBEsol-optimized structure of TlSF2. Source: Alexandria via LeMat-Bulk, functional meta-GGA SCAN.

Output
The calculation puts the density of states at the Fermi level at 2.7 states/eV per cell. The space group is R-3m, No. 166. For the formation energy without anion corrections, the calculation gives -0.5441 eV per atom.

Unit cell a=4.102 b=4.102 c=4.841 alpha=64.93 beta=64.93 gamma=60.00
Sites, in units of the cell vectors:
Tl (0.000, 0.000, 0.000)
S (0.500, 0.500, 0.500)
F (0.776, 0.776, 0.672)
F (0.224, 0.224, 0.328)